# CdBiSbTe2 PBE optimized geometry
data_CdBiSbTe2
_chemical_formula_sum 'Cd1 Bi1 Sb1 Te2'
_symmetry_space_group_name_H-M 'P 4/m m m'
_symmetry_Int_Tables_number 123
_symmetry_space_group_name_Hall '-P 4 2'
_cell_length_a 5.982
_cell_length_b 5.982
_cell_length_c 5.880
_cell_angle_alpha 90.00
_cell_angle_beta 90.00
_cell_angle_gamma 90.00
loop_
_atom_site_label
_atom_site_fract_x
_atom_site_fract_y
_atom_site_fract_z
Cd1 0.000 0.000 0.000
Bi1 0.500 0.500 0.500
Sb1 0.500 0.500 0.000
Te1 0.000 0.500 0.500
# * magnetic moment: 0.203 μB per atom
# * calculated volume: 42.09 Å³ per atom
# * electronic total energy: -12.01 eV/cell
# * ρ: 5.5 g/cm³
# * raw formation energy: 308 kJ/mol of formula units